No. 1
A plane-wave DFT calculation with GGA-PBE was carried out for a geometry-optimized Zr2ScPt structure.

Summary:
Relative energy among the computed polymorphs in meV/atom: 0.0
Space group: Immm (71)
Formation energy from the elements in meV per atom: -579
Theoretical density in g cm⁻³: 8.6

Unit cell a=5.7349 b=5.7349 c=5.7349 alpha=143.94 beta=132.14 gamma=61.36
Positions (direct):
Zr1 0.2311 0.2311 0.0000
Zr2 0.7689 0.7689 0.0000
Sc1 0.5000 0.0000 0.5000
Pt1 0.0000 0.5000 0.5000

No. 2
A plane-wave DFT calculation with GGA-PBE was carried out for a geometry-optimized HoSc4Al2 structure.

Summary:
Relative energy among the computed polymorphs in meV/atom: 0.0
Space group: R-3m (166)
Formation energy from the elements in meV per atom: -260
Theoretical density in g cm⁻³: 4.2

Unit cell a=7.8544 b=7.8544 c=7.8544 alpha=37.05 beta=37.05 gamma=37.05
Positions (direct):
Ho1 0.0000 0.0000 0.0000
Sc1 0.1537 0.1537 0.1537
Sc2 0.4236 0.4236 0.4236
Sc3 0.5764 0.5764 0.5764
Sc4 0.8463 0.8463 0.8463
Al1 0.2821 0.2821 0.2821
Al2 0.7179 0.7179 0.7179

No. 3
A plane-wave DFT calculation with GGA-PBE was carried out for a geometry-optimized MnSnPd structure.

Summary:
Space group: P-6m2 (187)
Formation energy from the elements in meV per atom: -1
Theoretical density in g cm⁻³: 8.6

Unit cell a=4.5288 b=4.5288 c=3.0369 alpha=90.00 beta=90.00 gamma=120.00
Positions (direct):
Mn1 0.0000 0.0000 0.0000
Sn1 0.3333 0.6667 0.5000
Pd1 0.6667 0.3333 0.0000